(1)
{
  "formula": "DySiPt",
  "functional": "PBE-GGA",
  "state": "relaxed",
  "rho_g_cm3": 11.616,
  "vol_a3_per_atom": 18.4,
  "dft_energy_ev_per_cell": -58.12,
  "lattice_angstrom": [[6.7475, 0.0000, 0.0000], [-3.3738, 5.8435, 0.0000], [0.0000, 0.0000, 4.1949]],
  "species": ["Dy", "Dy", "Dy", "Si", "Si", "Si", "Pt", "Pt", "Pt"],
  "frac_coords": [[0.0000, 0.5744, 0.0000], [0.4256, 0.4256, 0.0000], [0.5744, 0.0000, 0.0000], [0.0000, 0.0000, 0.0000], [0.3333, 0.6667, 0.5000], [0.6667, 0.3333, 0.5000], [0.0000, 0.2467, 0.5000], [0.2467, 0.0000, 0.5000], [0.7533, 0.7533, 0.5000]]
}



(2)
{
  "formula": "AcSc",
  "functional": "PBE-GGA",
  "state": "relaxed",
  "de_polymorph_ev_per_atom": 0.582,
  "rho_g_cm3": 6.153,
  "delta_e_f_ev_per_atom": 0.81,
  "vol_a3_per_atom": 36.7,
  "lattice_angstrom": [[0.0000, 3.3231, 3.3231], [3.3231, 0.0000, 3.3231], [3.3231, 3.3231, 0.0000]],
  "species": ["Ac", "Sc"],
  "frac_coords": [[0.0000, 0.0000, 0.0000], [0.5000, 0.5000, 0.5000]]
}



(3)
{
  "formula": "LuFeNiBi",
  "functional": "PBE-GGA",
  "state": "relaxed",
  "de_polymorph_ev_per_atom": 0.188,
  "rho_g_cm3": 11.009,
  "vol_a3_per_atom": 18.8,
  "lattice_angstrom": [[0.0000, 3.3500, 3.3500], [3.3500, 0.0000, 3.3500], [3.3500, 3.3500, 0.0000]],
  "species": ["Lu", "Fe", "Ni", "Bi"],
  "frac_coords": [[0.0000, 0.0000, 0.0000], [0.5000, 0.5000, 0.5000], [0.7500, 0.7500, 0.7500], [0.2500, 0.2500, 0.2500]]
}